A geometry-optimized NpCrPbO6 structure, computed with GGA+U.

## Properties
total energy = -145.33 eV per cell
space-group type = P-31c

Lattice parameters (Å, degrees): 5.407 5.407 10.760 90.00 90.00 120.00
Site moments in Bohr magnetons follow the coordinates.
Sites, in units of the cell vectors:
O1 0.370 0.999 0.148  -0.03
O2 0.371 0.370 0.852  -0.03
O3 0.629 0.630 0.148  -0.03
O4 0.630 0.629 0.648  -0.03
O5 0.999 0.629 0.852  -0.03
O6 0.629 0.999 0.352  -0.03
O7 0.999 0.370 0.648  -0.03
O8 0.371 0.001 0.648  -0.03
O9 0.001 0.630 0.352  -0.03
O10 0.630 0.001 0.852  -0.03
O11 0.001 0.371 0.148  -0.03
O12 0.370 0.371 0.352  -0.03
Np1 0.333 0.667 0.750  0.15
Np2 0.667 0.333 0.250  0.15
Pb1 0.000 0.000 0.000  0.01
Pb2 0.000 0.000 0.500  0.01
Cr1 0.333 0.667 0.250  2.92
Cr2 0.667 0.333 0.750  2.92